Record 1
# Mg2IrAu

A crystal of Mg2IrAu relaxed with PBEsol (SCAN, Alexandria).

```
Mg2IrAu
1.0
3.237 0.000 0.000
0.000 3.237 0.000
0.000 0.000 6.006
Mg Ir Au
2 1 1
direct
0.000 0.000 0.235
0.000 0.000 0.765
0.500 0.500 0.000
0.500 0.500 0.500
```

Its density of states at the Fermi level is 0.9 states/eV/cell. As for the energy of formation from the pure elements: -0.628 eV/atom.

=====

Record 2
# AlSbPb3

A crystal of AlSbPb3 relaxed with PBEsol (SCAN, Alexandria).

```
AlSbPb3
1.0
5.341 0.000 0.000
0.000 5.341 0.000
0.000 0.000 5.341
Al Sb Pb
1 1 3
direct
0.000 0.000 0.000
0.500 0.500 0.500
0.000 0.000 0.500
0.000 0.500 0.000
0.500 0.000 0.000
```

Its density of states at the Fermi level is 1.8 states/eV/cell. The total DFT energy (no corrections) comes out at -54.097 eV per atom.